Entry 1:
## Np2H3O8 (PBE)

Data for Np2H3O8 after structural relaxation.

Cell and atoms, written as CIF:
```
data_Np2H3O8
_cell_length_a 4.604
_cell_length_b 5.511
_cell_length_c 8.328
_cell_angle_alpha 73.29
_cell_angle_beta 75.52
_cell_angle_gamma 67.33
_space_group_name_H-M_alt 'P 1'
_space_group_IT_number 1
loop_
_space_group_symop_operation_xyz
'x,y,z'
loop_
_atom_site_label
_atom_site_type_symbol
_atom_site_fract_x
_atom_site_fract_y
_atom_site_fract_z
Np1 Np 0.000 0.000 0.000
Np2 Np 0.022 0.515 0.477
H1 H 0.380 0.159 0.105
H2 H 0.643 0.256 0.477
H3 H 0.981 0.504 0.811
O1 O 0.051 0.693 0.218
O2 O 0.143 0.764 0.862
O3 O 0.202 0.183 0.436
O4 O 0.474 0.037 0.026
O5 O 0.553 0.447 0.486
O6 O 0.835 0.254 0.124
O7 O 0.836 0.839 0.531
O8 O 0.993 0.350 0.768
```

- Final energy: -101.6 eV per cell

***

Entry 2:
## NiAgP2 (PBE)

Data for NiAgP2 after structural relaxation.

Cell and atoms, written as CIF:
```
data_NiAgP2
_cell_length_a 4.220
_cell_length_b 3.207
_cell_length_c 5.714
_cell_angle_alpha 90.00
_cell_angle_beta 108.88
_cell_angle_gamma 90.00
_space_group_name_H-M_alt 'P 1'
_space_group_IT_number 1
loop_
_space_group_symop_operation_xyz
'x,y,z'
loop_
_atom_site_label
_atom_site_type_symbol
_atom_site_fract_x
_atom_site_fract_y
_atom_site_fract_z
Ni1 Ni 0.000 0.000 0.000
Ag1 Ag 0.546 0.500 0.289
P1 P 0.436 0.000 0.885
P2 P 0.678 0.500 0.741
```

- Excess energy over the best structure of this formula in the dataset: 130 meV per atom
- Final energy: -19.2 eV per cell
- Formation energy from the elements: 53 meV per atom

***

Entry 3:
## Ta2SbRhO (PBE)

Data for Ta2SbRhO after structural relaxation.

Cell and atoms, written as CIF:
```
data_Ta2SbRhO
_cell_length_a 5.198
_cell_length_b 5.198
_cell_length_c 3.869
_cell_angle_alpha 90.00
_cell_angle_beta 90.00
_cell_angle_gamma 90.00
_space_group_name_H-M_alt 'P 1'
_space_group_IT_number 1
loop_
_space_group_symop_operation_xyz
'x,y,z'
loop_
_atom_site_label
_atom_site_type_symbol
_atom_site_fract_x
_atom_site_fract_y
_atom_site_fract_z
Ta1 Ta 0.000 0.500 0.000
Ta2 Ta 0.500 0.000 0.000
Sb1 Sb 0.000 0.000 0.000
Rh1 Rh 0.500 0.500 0.500
O1 O 0.000 0.000 0.500
```

- Final energy: -33.7 eV per cell
- Formation energy (no corrections): 1.29 eV per atom